a) # ErCO4 PBE optimized geometry
data_ErCO4
_cell_length_a 4.7703
_cell_length_b 7.1669
_cell_length_c 8.9389
_cell_angle_alpha 90.00
_cell_angle_beta 90.00
_cell_angle_gamma 90.00
_space_group_name_H-M_alt 'P 21 21 21'
_space_group_IT_number 19
loop_
_space_group_symop_operation_xyz
'x,y,z'
'-x+1/2,-y,z+1/2'
'x+1/2,-y+1/2,-z'
'-x,y+1/2,-z+1/2'
loop_
_atom_site_label
_atom_site_type_symbol
_atom_site_fract_x
_atom_site_fract_y
_atom_site_fract_z
_atom_site_occupancy
Er1 Er 0.0326 0.1423 0.1697 1
C1 C 0.0185 0.0372 0.8409 1
O1 O 0.0252 0.8358 0.1443 1
O2 O 0.0488 0.4284 0.7664 1
O3 O 0.1592 0.6227 0.5733 1
O4 O 0.2135 0.9377 0.3684 1
# Magnetic moment (μB per formula unit): 1.00

***

b) # ErCO4 PBE optimized geometry
data_ErCO4
_cell_length_a 4.4629
_cell_length_b 6.6842
_cell_length_c 6.3139
_cell_angle_alpha 90.00
_cell_angle_beta 96.03
_cell_angle_gamma 90.00
_space_group_name_H-M_alt 'P 1 21/m 1'
_space_group_IT_number 11
loop_
_space_group_symop_operation_xyz
'x,y,z'
'-x,-y,-z'
'-x,y+1/2,-z'
'x,-y+1/2,z'
loop_
_atom_site_label
_atom_site_type_symbol
_atom_site_fract_x
_atom_site_fract_y
_atom_site_fract_z
_atom_site_occupancy
Er1 Er 0.0354 0.2500 0.1624 1
C1 C 0.0556 0.2500 0.7058 1
O1 O 0.0281 0.0866 0.8167 1
O2 O 0.1084 0.2500 0.5143 1
O3 O 0.4646 0.7500 0.8624 1
# Magnetic moment (μB per formula unit): 0.99
# Fermi-level density of states (states/eV/f.u.): 0.4

***

Least stable = a)

***

a) # Er2CO PBE optimized geometry
data_Er2CO
_cell_length_a 3.7705
_cell_length_b 3.7705
_cell_length_c 19.8024
_cell_angle_alpha 90.00
_cell_angle_beta 90.00
_cell_angle_gamma 120.00
_space_group_name_H-M_alt 'R -3 m'
_space_group_IT_number 166
_space_group_name_Hall '-R 3 2"'
loop_
_atom_site_label
_atom_site_type_symbol
_atom_site_fract_x
_atom_site_fract_y
_atom_site_fract_z
_atom_site_occupancy
Er1 Er 0.0000 0.0000 0.1024 1
C1 C 0.0000 0.0000 0.5000 1
O1 O 0.0000 0.0000 0.0000 1
# Magnetic moment (μB per formula unit): 0.00

***

b) # Er2CO PBE optimized geometry
data_Er2CO
_cell_length_a 6.9305
_cell_length_b 13.8701
_cell_length_c 6.0253
_cell_angle_alpha 90.00
_cell_angle_beta 124.97
_cell_angle_gamma 90.00
_space_group_name_H-M_alt 'C 1 2/c 1'
_space_group_IT_number 15
loop_
_space_group_symop_operation_xyz
'x,y,z'
'-x,-y,-z'
'-x,y,-z+1/2'
'x,-y,z+1/2'
'x+1/2,y+1/2,z'
'-x+1/2,-y+1/2,-z'
'-x+1/2,y+1/2,-z+1/2'
'x+1/2,-y+1/2,z+1/2'
loop_
_atom_site_label
_atom_site_type_symbol
_atom_site_fract_x
_atom_site_fract_y
_atom_site_fract_z
_atom_site_occupancy
Er1 Er 0.2458 0.0622 0.2416 1
Er2 Er 0.2501 0.1873 0.7583 1
C1 C 0.0000 0.0617 0.7500 1
C2 C 0.0000 0.3136 0.7500 1
O1 O 0.0000 0.1880 0.2500 1
O2 O 0.0000 0.4372 0.2500 1
# Magnetic moment (μB per formula unit): 0.00
# Fermi-level density of states (states/eV/f.u.): 0.6

***

Least stable = a)

***

a) # Er7Pb3C2 PBE optimized geometry
data_Er7Pb3C2
_cell_length_a 4.8301
_cell_length_b 4.8301
_cell_length_c 25.5179
_cell_angle_alpha 90.00
_cell_angle_beta 90.00
_cell_angle_gamma 90.00
_space_group_name_H-M_alt 'I 4/m m m'
_space_group_IT_number 139
_space_group_name_Hall '-I 4 2'
loop_
_atom_site_label
_atom_site_type_symbol
_atom_site_fract_x
_atom_site_fract_y
_atom_site_fract_z
_atom_site_occupancy
Er1 Er 0.0000 0.0000 0.0000 1
Er2 Er 0.0000 0.0000 0.1924 1
Er3 Er 0.0000 0.5000 0.0953 1
Pb1 Pb 0.0000 0.0000 0.3174 1
Pb2 Pb 0.0000 0.0000 0.5000 1
C1 C 0.0000 0.0000 0.0967 1
# Magnetic moment (μB per formula unit): 0.00
# Fermi-level density of states (states/eV/f.u.): 4.1

***

b) # Er7Pb3C2 PBE optimized geometry
data_Er7Pb3C2
_cell_length_a 4.8827
_cell_length_b 24.7586
_cell_length_c 4.7856
_cell_angle_alpha 90.00
_cell_angle_beta 90.00
_cell_angle_gamma 90.00
_space_group_name_H-M_alt 'C m m m'
_space_group_IT_number 65
_space_group_name_Hall '-C 2 2'
loop_
_atom_site_label
_atom_site_type_symbol
_atom_site_fract_x
_atom_site_fract_y
_atom_site_fract_z
_atom_site_occupancy
Er1 Er 0.0000 0.0000 0.0000 1
Er2 Er 0.0000 0.0971 0.5000 1
Er3 Er 0.0000 0.1972 0.0000 1
Er4 Er 0.0000 0.4003 0.0000 1
Pb1 Pb 0.0000 0.3096 0.5000 1
Pb2 Pb 0.0000 0.5000 0.5000 1
C1 C 0.0000 0.0993 0.0000 1
# Magnetic moment (μB per formula unit): 0.00
# Fermi-level density of states (states/eV/f.u.): 4.3

***

Least stable = b)